# 1
DFT (PBE) results for an optimized crystal structure of LiHo3Pu3Te8.

The structure belongs to space group R-3m (No. 166, hexagonal axes); the cell edges are 8.7506, 8.7506 and 21.4161 Å and the angles 90.00°, 90.00° and 120.00°. The inequivalent atoms are Li at (0.0000, 0.0000, 0.0000), Ho at (0.0000, 0.5000, 0.5000), Pu at (0.0000, 0.5000, 0.0000), Te at (0.0000, 0.0000, 0.2482) and Te at (0.0050, 0.5025, 0.7514).

The total moment is 17.4 μB/f.u. For the calculated total energy, the calculation gives -6.76 eV/atom.


# 2
DFT (PBE) results for an optimized crystal structure of LiHoPuTe3.

The structure belongs to space group P2_1/m (No. 11); the cell edges are 8.905, 4.296 and 9.512 Å and the angles 90.00°, 103.34° and 90.00°. The inequivalent atoms are Li at (0.085, 0.250, 0.084), Ho at (0.330, 0.750, 0.336), Pu at (0.183, 0.250, 0.731), Te at (0.095, 0.250, 0.372), Te at (0.235, 0.750, 0.002) and Te at (0.428, 0.750, 0.670).

The total moment is 5.9 μB/f.u. For the calculated total energy, the calculation gives -6.19 eV/atom.


# 3
DFT (PBE) results for an optimized crystal structure of LiHo2Pu3Te6.

The structure belongs to space group C2/m (No. 12); the cell edges are 19.100, 4.378 and 8.784 Å and the angles 90.00°, 103.23° and 90.00°. The inequivalent atoms are Li at (0.000, 0.000, 0.000), Ho at (0.165, 0.500, 0.334), Pu at (0.000, 0.000, 0.500), Pu at (0.167, 0.500, 0.836), Te at (0.002, 0.500, 0.241), Te at (0.163, 0.000, 0.089) and Te at (0.169, 0.000, 0.582).

The total moment is 17.8 μB/f.u. For the calculated total energy, the calculation gives -7.24 eV/atom.


# 4
DFT (PBE) results for an optimized crystal structure of LiHo3Pu2Te6.

The structure belongs to space group C2/m (No. 12); the cell edges are 19.076, 4.352 and 8.768 Å and the angles 90.00°, 103.77° and 90.00°. The inequivalent atoms are Li at (0.000, 0.000, 0.000), Ho at (0.000, 0.000, 0.500), Ho at (0.169, 0.500, 0.831), Pu at (0.166, 0.500, 0.331), Te at (0.004, 0.500, 0.756), Te at (0.163, 0.000, 0.074) and Te at (0.165, 0.000, 0.584).

The total moment is 12.0 μB/f.u. For the calculated total energy, the calculation gives -6.48 eV/atom.


# 5
DFT (PBE) results for an optimized crystal structure of Li2HoPuTe4.

The structure belongs to space group P2/m (No. 10); the cell edges are 7.470, 4.371 and 7.567 Å and the angles 90.00°, 109.86° and 90.00°. The inequivalent atoms are Li at (0.000, 0.000, 0.000), Li at (0.000, 0.500, 0.500), Ho at (0.500, 0.000, 0.500), Pu at (0.500, 0.500, 0.000), Te at (0.244, 0.000, 0.744) and Te at (0.244, 0.500, 0.253).

The total moment is 5.0 μB/f.u. For the calculated total energy, the calculation gives -5.55 eV/atom.


# 6
DFT (PBE) results for an optimized crystal structure of LiHo2PuTl4.

The structure belongs to space group R-3m (No. 166, hexagonal axes); the cell edges are 5.2626, 5.2626 and 26.3932 Å and the angles 90.00°, 90.00° and 120.00°. The inequivalent atoms are Li at (0.0000, 0.0000, 0.0000), Ho at (0.0000, 0.0000, 0.2519), Pu at (0.0000, 0.0000, 0.5000), Tl at (0.0000, 0.0000, 0.1212) and Tl at (0.0000, 0.0000, 0.3720).

The total moment is 6.3 μB/f.u. The value obtained for the formation enthalpy at 0 K is -0.2071 eV/atom.


# 7
DFT (PBE) results for an optimized crystal structure of LiHoPuTl.

The structure belongs to space group F-43m (No. 216); the cell edges are 7.499, 7.499 and 7.499 Å and the angles 90.00°, 90.00° and 90.00°. The inequivalent atoms are Li at (0.000, 0.000, 0.000), Ho at (0.250, 0.250, 0.750), Pu at (0.250, 0.250, 0.250) and Tl at (0.000, 0.000, 0.500).

The total moment is 6.3 μB/f.u. The value obtained for the formation enthalpy at 0 K is 0.0407 eV/atom.


# 8
DFT (PBE) results for an optimized crystal structure of RbLiHoSe2.

The structure belongs to space group Cmme (No. 67); the cell edges are 8.101, 16.350 and 5.199 Å and the angles 90.00°, 90.00° and 90.00°. The inequivalent atoms are Rb at (0.000, 0.250, 0.163), Li at (0.000, 0.000, 0.000), Ho at (0.250, 0.000, 0.500) and Se at (0.000, 0.108, 0.647).

The total moment is 0.0 μB/f.u. For the calculated total energy, the calculation gives -4.05 eV/atom.


# 9
DFT (PBE) results for an optimized crystal structure of RbLiHo2Se4.

The structure belongs to space group Cmcm (No. 63); the cell edges are 4.200, 14.147 and 14.612 Å and the angles 90.00°, 90.00° and 90.00°. The inequivalent atoms are Rb at (0.000, 0.108, 0.250), Li at (0.000, 0.169, 0.750), Ho at (0.000, 0.366, 0.062), Se at (0.000, 0.000, 0.000), Se at (0.000, 0.262, 0.606) and Se at (0.000, 0.423, 0.250).

The total moment is 0.0 μB/f.u. For the calculated total energy, the calculation gives -4.94 eV/atom.


# 10
DFT (PBE) results for an optimized crystal structure of LiTbHoRe.

The structure belongs to space group F-43m (No. 216); the cell edges are 6.957, 6.957 and 6.957 Å and the angles 90.00°, 90.00° and 90.00°. The inequivalent atoms are Li at (0.000, 0.000, 0.000), Tb at (0.250, 0.250, 0.750), Ho at (0.250, 0.250, 0.250) and Re at (0.000, 0.000, 0.500).

The total moment is 0.0 μB/f.u. The value obtained for the formation enthalpy at 0 K is 0.0646 eV/atom.


# 11
DFT (PBE) results for an optimized crystal structure of LiYHoRe.

The structure belongs to space group F-43m (No. 216); the cell edges are 6.963, 6.963 and 6.963 Å and the angles 90.00°, 90.00° and 90.00°. The inequivalent atoms are Li at (0.000, 0.000, 0.000), Y at (0.250, 0.250, 0.250), Ho at (0.250, 0.250, 0.750) and Re at (0.000, 0.000, 0.500).

The total moment is 0.0 μB/f.u. The value obtained for the formation enthalpy at 0 K is 0.0745 eV/atom.


# 12
DFT (PBE) results for an optimized crystal structure of LiHo5Rh6.

The structure belongs to space group Immm (No. 71); the cell edges are 4.702, 6.808 and 14.127 Å and the angles 90.00°, 90.00° and 90.00°. The inequivalent atoms are Li at (0.000, 0.000, 0.000), Ho at (0.000, 0.000, 0.328), Ho at (0.000, 0.500, 0.000), Ho at (0.000, 0.500, 0.349), Rh at (0.000, 0.238, 0.500) and Rh at (0.000, 0.252, 0.167).

The total moment is 0.0 μB/f.u. The value obtained for the formation enthalpy at 0 K is -0.8015 eV/atom.


# 13
DFT (PBE) results for an optimized crystal structure of LiHoRh.

The structure belongs to space group P-6m2 (No. 187); the cell edges are 4.3632, 4.3632 and 3.3396 Å and the angles 90.00°, 90.00° and 120.00°. The inequivalent atoms are Li at (0.0000, 0.0000, 0.0000), Ho at (0.6667, 0.3333, 0.5000) and Rh at (0.3333, 0.6667, 0.0000).

The total moment is 0.0 μB/f.u. The value obtained for the formation enthalpy at 0 K is -0.4364 eV/atom. As for the relative energy among the computed polymorphs: 0 meV per atom.


# 14
DFT (PBE) results for an optimized crystal structure of LiHo2Rh3.

The structure belongs to space group P-3m1 (No. 164); the cell edges are 4.6368, 4.6368 and 11.3944 Å and the angles 90.00°, 90.00° and 120.00°. The inequivalent atoms are Li at (0.3333, 0.6667, 0.1617), Ho at (0.0000, 0.0000, 0.0000), Ho at (0.0000, 0.0000, 0.5000), Ho at (0.3333, 0.6667, 0.6872), Rh at (0.0000, 0.0000, 0.2456), Rh at (0.3333, 0.6667, 0.4133) and Rh at (0.3333, 0.6667, 0.9246).

The total moment is 0.0 μB/f.u. The value obtained for the formation enthalpy at 0 K is -0.6705 eV/atom.


# 15
DFT (PBE) results for an optimized crystal structure of Li2Ho2Rh3.

The structure belongs to space group Cmmm (No. 65); the cell edges are 3.336, 23.029 and 3.252 Å and the angles 90.00°, 90.00° and 90.00°. The inequivalent atoms are Li at (0.000, 0.208, 0.000), Ho at (0.000, 0.078, 0.000), Rh at (0.000, 0.350, 0.500) and Rh at (0.000, 0.500, 0.500).

The total moment is 0.0 μB/f.u. The value obtained for the formation enthalpy at 0 K is -0.5180 eV/atom.


# 16
DFT (PBE) results for an optimized crystal structure of LiHo4Rh5.

The structure belongs to space group P4/mmm (No. 123); the cell edges are 3.375, 3.375 and 16.232 Å and the angles 90.00°, 90.00° and 90.00°. The inequivalent atoms are Li at (0.000, 0.000, 0.000), Ho at (0.000, 0.000, 0.180), Ho at (0.000, 0.000, 0.394), Rh at (0.500, 0.500, 0.086), Rh at (0.500, 0.500, 0.291) and Rh at (0.500, 0.500, 0.500).

The total moment is 0.0 μB/f.u. The value obtained for the formation enthalpy at 0 K is -0.7481 eV/atom.


# 17
DFT (PBE) results for an optimized crystal structure of LiHo3Rh.

The structure belongs to space group C2/m (No. 12); the cell edges are 9.840, 16.009 and 6.308 Å and the angles 90.00°, 90.06° and 90.00°. The inequivalent atoms are Li at (0.001, 0.000, 0.189), Li at (0.001, 0.500, 0.311), Ho at (0.000, 0.199, 0.000), Ho at (0.000, 0.301, 0.500), Ho at (0.182, 0.110, 0.501), Ho at (0.182, 0.390, 0.999) and Rh at (0.250, 0.250, 0.250).

The total moment is 0.0 μB/f.u. The value obtained for the formation enthalpy at 0 K is -0.3380 eV/atom.


# 18
DFT (PBE) results for an optimized crystal structure of LiHoRh.

The structure belongs to space group I4mm (No. 107); the cell edges are 3.457, 3.457 and 9.277 Å and the angles 90.00°, 90.00° and 90.00°. The inequivalent atoms are Li at (0.000, 0.000, 0.000), Ho at (0.000, 0.000, 0.296) and Rh at (0.000, 0.000, 0.636).

The total moment is 0.0 μB/f.u. The value obtained for the formation enthalpy at 0 K is -0.4060 eV/atom. As for the relative energy among the computed polymorphs: 30 meV per atom.


# 19
DFT (PBE) results for an optimized crystal structure of LiHo3Rh2.

The structure belongs to space group P-3m1 (No. 164); the cell edges are 4.8629, 4.8629 and 12.0569 Å and the angles 90.00°, 90.00° and 120.00°. The inequivalent atoms are Li at (0.3333, 0.6667, 0.1701), Ho at (0.0000, 0.0000, 0.2584), Ho at (0.3333, 0.6667, 0.4231), Ho at (0.3333, 0.6667, 0.9171), Rh at (0.0000, 0.0000, 0.0000), Rh at (0.0000, 0.0000, 0.5000) and Rh at (0.3333, 0.6667, 0.6713).

The total moment is 0.0 μB/f.u. The value obtained for the formation enthalpy at 0 K is -0.6515 eV/atom.


# 20
DFT (PBE) results for an optimized crystal structure of LiHoRh4.

The structure belongs to space group F-43m (No. 216); the cell edges are 7.389, 7.389 and 7.389 Å and the angles 90.00°, 90.00° and 90.00°. The inequivalent atoms are Li at (0.000, 0.000, 0.000), Ho at (0.250, 0.250, 0.750) and Rh at (0.125, 0.125, 0.375).

The total moment is 0.0 μB/f.u. The value obtained for the formation enthalpy at 0 K is -0.4433 eV/atom.


# 21
DFT (PBE) results for an optimized crystal structure of LiHo4Rh.

The structure belongs to space group I4_1md (No. 109); the cell edges are 9.965, 9.965 and 7.217 Å and the angles 90.00°, 90.00° and 90.00°. The inequivalent atoms are Li at (0.000, 0.000, 0.000), Ho at (0.000, 0.261, 0.433), Ho at (0.000, 0.309, 0.922) and Rh at (0.000, 0.000, 0.393).

The total moment is 0.0 μB/f.u. The value obtained for the formation enthalpy at 0 K is -0.0168 eV/atom.


# 22
DFT (PBE) results for an optimized crystal structure of Li2Ho3Rh7.

The structure belongs to space group R-3m (No. 166, hexagonal axes); the cell edges are 5.3184, 5.3184 and 24.9109 Å and the angles 90.00°, 90.00° and 120.00°. The inequivalent atoms are Li at (0.0000, 0.0000, 0.1643), Ho at (0.0000, 0.0000, 0.3593), Ho at (0.0000, 0.0000, 0.5000), Rh at (0.0000, 0.0000, 0.0000) and Rh at (0.0052, 0.5026, 0.4177).

The total moment is 0.0 μB/f.u. The value obtained for the formation enthalpy at 0 K is -0.5574 eV/atom.